Record 1
! GGA-PBE Na2TeO, optimized geometry; values from VASP
! Magnetization = 0.000 μB per formula unit
! Calculated total energy = -0.128 hartree per atom
! Energy relative to the elements, uncorrected = -0.802 eV per atom
! Volume = 396.4 Å³/cell
! N(E_F) = 0.00 states/eV/atom
! Distance to the lowest polymorph of the same formula = 0.000 eV/atom
&SYSTEM
  ibrav = 0, nat = 16, ntyp = 3
/
ATOMIC_SPECIES
Na 22.99 Na.upf
Te 127.60 Te.upf
O 16.00 O.upf
ATOMIC_POSITIONS crystal
Na 0.0556 0.2500 0.1250
Na 0.2500 0.5556 0.3750
Na 0.2500 0.9444 0.8750
Na 0.4444 0.2500 0.6250
Na 0.5556 0.7500 0.6250
Na 0.7500 0.0556 0.8750
Na 0.7500 0.4444 0.3750
Na 0.9444 0.7500 0.1250
Te 0.0000 0.0000 0.5000
Te 0.0000 0.5000 0.7500
Te 0.5000 0.0000 0.2500
Te 0.5000 0.5000 0.0000
O 0.0000 0.0000 0.0000
O 0.0000 0.5000 0.2500
O 0.5000 0.0000 0.7500
O 0.5000 0.5000 0.5000
CELL_PARAMETERS angstrom
9.2451 0.0000 0.0000
0.0000 9.2451 0.0000
0.0000 0.0000 4.6383

Record 2
! GGA-PBE Na2TeO4, optimized geometry; values from VASP
! Magnetization = 0.001 μB per formula unit
! Calculated total energy = -0.186 hartree per atom
! Energy relative to the elements, uncorrected = -1.415 eV per atom
! Volume = 774.3 Å³/cell
! N(E_F) = 0.00 states/eV/atom
! Distance to the lowest polymorph of the same formula = 0.009 eV/atom
&SYSTEM
  ibrav = 0, nat = 56, ntyp = 3
/
ATOMIC_SPECIES
Na 22.99 Na.upf
Te 127.60 Te.upf
O 16.00 O.upf
ATOMIC_POSITIONS crystal
Na 0.0425 0.1007 0.1876
Na 0.0425 0.3993 0.6876
Na 0.1292 0.7439 0.5337
Na 0.1292 0.7561 0.0337
Na 0.3549 0.2381 0.1962
Na 0.3549 0.2619 0.6962
Na 0.4328 0.7494 0.0995
Na 0.4328 0.7506 0.5995
Na 0.5672 0.2494 0.4005
Na 0.5672 0.2506 0.9005
Na 0.6451 0.7381 0.3038
Na 0.6451 0.7619 0.8038
Na 0.8708 0.2439 0.9663
Na 0.8708 0.2561 0.4663
Na 0.9575 0.6007 0.3124
Na 0.9575 0.8993 0.8124
Te 0.2232 0.2229 0.4223
Te 0.2232 0.2771 0.9223
Te 0.2911 0.7234 0.3165
Te 0.2911 0.7766 0.8165
Te 0.7089 0.2234 0.1835
Te 0.7089 0.2766 0.6835
Te 0.7768 0.7229 0.0777
Te 0.7768 0.7771 0.5777
O 0.0688 0.1505 0.9415
O 0.0688 0.3495 0.4415
O 0.1385 0.5977 0.8556
O 0.1385 0.9023 0.3556
O 0.1838 0.0955 0.7868
O 0.1838 0.4045 0.2868
O 0.2351 0.6381 0.6908
O 0.2351 0.8619 0.1908
O 0.2798 0.0822 0.5463
O 0.2798 0.4178 0.0463
O 0.3227 0.5467 0.4514
O 0.3227 0.9533 0.9514
O 0.3700 0.0469 0.3779
O 0.3700 0.4531 0.8779
O 0.4422 0.5831 0.2963
O 0.4422 0.9169 0.7963
O 0.5578 0.0831 0.2037
O 0.5578 0.4169 0.7037
O 0.6300 0.5469 0.1221
O 0.6300 0.9531 0.6221
O 0.6773 0.0467 0.0486
O 0.6773 0.4533 0.5486
O 0.7202 0.5822 0.9537
O 0.7202 0.9178 0.4537
O 0.7649 0.1381 0.8092
O 0.7649 0.3619 0.3092
O 0.8162 0.5955 0.7132
O 0.8162 0.9045 0.2132
O 0.8615 0.0977 0.6444
O 0.8615 0.4023 0.1444
O 0.9312 0.6505 0.5585
O 0.9312 0.8495 0.0585
CELL_PARAMETERS angstrom
10.7734 0.0000 0.0000
0.0000 5.2490 0.0000
-3.3248 0.0000 13.6931

Record 3
! GGA-PBE Na2TeO5, optimized geometry; values from VASP
! Magnetization = 4.000 μB per formula unit
! Calculated total energy = -0.159 hartree per atom
! Energy relative to the elements, uncorrected = -0.495 eV per atom
! Volume = 317.2 Å³/cell
! N(E_F) = 0.19 states/eV/atom
! Distance to the lowest polymorph of the same formula = 0.391 eV/atom
&SYSTEM
  ibrav = 0, nat = 16, ntyp = 3
/
ATOMIC_SPECIES
Na 22.99 Na.upf
Te 127.60 Te.upf
O 16.00 O.upf
ATOMIC_POSITIONS crystal
Na 0.0000 0.0000 0.0000
Na 0.0000 0.0000 0.5000
Na 0.3111 0.6889 0.7500
Na 0.6889 0.3111 0.2500
Te 0.2415 0.7585 0.2500
Te 0.7585 0.2415 0.7500
O 0.0394 0.3611 0.6251
O 0.0394 0.3611 0.8749
O 0.0661 0.9339 0.7500
O 0.3611 0.0394 0.1251
O 0.3611 0.0394 0.3749
O 0.6389 0.9606 0.6251
O 0.6389 0.9606 0.8749
O 0.9339 0.0661 0.2500
O 0.9606 0.6389 0.1251
O 0.9606 0.6389 0.3749
CELL_PARAMETERS angstrom
3.3897 -5.0377 0.0000
3.3897 5.0377 0.0000
0.0000 0.0000 9.2878

Record 4
! GGA-PBE Na2TeO4, optimized geometry; values from VASP
! Magnetization = 0.000 μB per formula unit
! Calculated total energy = -0.184 hartree per atom
! Energy relative to the elements, uncorrected = -1.343 eV per atom
! Volume = 183.4 Å³/cell
! Distance to the lowest polymorph of the same formula = 0.081 eV/atom
&SYSTEM
  ibrav = 0, nat = 14, ntyp = 3
/
ATOMIC_SPECIES
Na 22.99 Na.upf
Te 127.60 Te.upf
O 16.00 O.upf
ATOMIC_POSITIONS crystal
Na 0.1441 0.0000 0.1609
Na 0.3559 0.5000 0.8391
Na 0.6441 0.5000 0.1609
Na 0.8559 0.0000 0.8391
Te 0.0000 0.5000 0.5000
Te 0.5000 0.0000 0.5000
O 0.0236 0.5000 0.8168
O 0.1430 0.0000 0.5997
O 0.3570 0.5000 0.4003
O 0.4764 0.0000 0.1832
O 0.5236 0.0000 0.8168
O 0.6430 0.5000 0.5997
O 0.8570 0.0000 0.4003
O 0.9764 0.5000 0.1832
CELL_PARAMETERS angstrom
11.0430 0.0000 0.0000
0.0000 3.0896 0.0000
-3.2270 0.0000 5.3755

Record 5
! GGA-PBE Na2TeO4, optimized geometry; values from VASP
! Magnetization = 0.024 μB per formula unit
! Calculated total energy = -0.187 hartree per atom
! Energy relative to the elements, uncorrected = -1.424 eV per atom
! Volume = 401.8 Å³/cell
! N(E_F) = 0.00 states/eV/atom
! Distance to the lowest polymorph of the same formula = 0.000 eV/atom
&SYSTEM
  ibrav = 0, nat = 28, ntyp = 3
/
ATOMIC_SPECIES
Na 22.99 Na.upf
Te 127.60 Te.upf
O 16.00 O.upf
ATOMIC_POSITIONS crystal
Na 0.0000 0.2582 0.0000
Na 0.0000 0.7418 0.5000
Na 0.2350 0.2350 0.3750
Na 0.2350 0.7650 0.1250
Na 0.2582 0.0000 0.7500
Na 0.7418 0.0000 0.2500
Na 0.7650 0.2350 0.6250
Na 0.7650 0.7650 0.8750
Te 0.2587 0.5000 0.7500
Te 0.5000 0.2587 0.0000
Te 0.5000 0.7413 0.5000
Te 0.7413 0.5000 0.2500
O 0.0773 0.2928 0.7290
O 0.0773 0.7072 0.7710
O 0.2928 0.0773 0.0210
O 0.2928 0.9227 0.4790
O 0.2962 0.4820 0.9781
O 0.2962 0.5180 0.5219
O 0.4820 0.2962 0.7719
O 0.4820 0.7038 0.7281
O 0.5180 0.2962 0.2281
O 0.5180 0.7038 0.2719
O 0.7038 0.4820 0.0219
O 0.7038 0.5180 0.4781
O 0.7072 0.0773 0.9790
O 0.7072 0.9227 0.5210
O 0.9227 0.2928 0.2710
O 0.9227 0.7072 0.2290
CELL_PARAMETERS angstrom
6.7819 0.0000 0.0000
0.0000 6.7819 0.0000
0.0000 0.0000 8.7356

Record 6
! GGA-PBE NaTe2O4, optimized geometry; values from VASP
! Magnetization = 0.000 μB per formula unit
! Calculated total energy = -0.182 hartree per atom
! Energy relative to the elements, uncorrected = -1.027 eV per atom
! Volume = 245.7 Å³/cell
! N(E_F) = 0.23 states/eV/atom
&SYSTEM
  ibrav = 0, nat = 14, ntyp = 3
/
ATOMIC_SPECIES
Na 22.99 Na.upf
Te 127.60 Te.upf
O 16.00 O.upf
ATOMIC_POSITIONS crystal
Na 0.0000 0.0000 0.2500
Na 0.0000 0.0000 0.7500
Te 0.2961 0.6830 0.0000
Te 0.3170 0.7039 0.5000
Te 0.6830 0.2961 0.5000
Te 0.7039 0.3170 0.0000
O 0.0000 0.5000 0.1583
O 0.0000 0.5000 0.8417
O 0.0130 0.7517 0.5000
O 0.2483 0.9870 0.0000
O 0.5000 0.0000 0.3417
O 0.5000 0.0000 0.6583
O 0.7517 0.0130 0.0000
O 0.9870 0.2483 0.5000
CELL_PARAMETERS angstrom
3.1695 -4.8017 0.0000
3.1695 4.8017 0.0000
0.0000 0.0000 8.0730

Record 7
! GGA-PBE Na7TeO2, optimized geometry; values from VASP
! Magnetization = 0.000 μB per formula unit
! Calculated total energy = -0.116 hartree per atom
! Energy relative to the elements, uncorrected = -0.915 eV per atom
! Volume = 219.0 Å³/cell
! N(E_F) = 0.19 states/eV/atom
&SYSTEM
  ibrav = 0, nat = 10, ntyp = 3
/
ATOMIC_SPECIES
Na 22.99 Na.upf
Te 127.60 Te.upf
O 16.00 O.upf
ATOMIC_POSITIONS crystal
Na 0.0000 0.0000 0.0000
Na 0.1659 0.4581 0.0000
Na 0.1924 0.8076 0.5000
Na 0.4581 0.1659 0.0000
Na 0.5419 0.8341 0.0000
Na 0.8076 0.1924 0.5000
Na 0.8341 0.5419 0.0000
Te 0.5000 0.5000 0.5000
O 0.1942 0.8058 0.0000
O 0.8058 0.1942 0.0000
CELL_PARAMETERS angstrom
3.8246 -6.1715 0.0000
3.8246 6.1715 0.0000
0.0000 0.0000 4.6400

Record 8
! GGA-PBE Na2Te2O7, optimized geometry; values from VASP
! Magnetization = 0.000 μB per formula unit
! Calculated total energy = -0.188 hartree per atom
! Energy relative to the elements, uncorrected = -1.141 eV per atom
! Volume = 186.3 Å³/cell
! N(E_F) = 0.00 states/eV/atom
&SYSTEM
  ibrav = 0, nat = 11, ntyp = 3
/
ATOMIC_SPECIES
Na 22.99 Na.upf
Te 127.60 Te.upf
O 16.00 O.upf
ATOMIC_POSITIONS crystal
Na 0.2025 0.7975 0.0000
Na 0.7975 0.2025 0.0000
Te 0.2384 0.2384 0.6238
Te 0.7612 0.7612 0.3758
O 0.0796 0.0796 0.3048
O 0.1192 0.4262 0.7844
O 0.4262 0.1192 0.7844
O 0.4990 0.4990 0.4982
O 0.5736 0.8808 0.2155
O 0.8808 0.5736 0.2155
O 0.9196 0.9196 0.6950
CELL_PARAMETERS angstrom
3.2507 -5.1705 0.0000
3.2507 5.1705 0.0000
-0.8778 0.0000 5.5412